(1)
Computed, not measured: Nd4Ag2HgAu after structural relaxation at the PBE-GGA level of DFT.

Calculated values
ΔH_f (0 K)   -0.442 eV per atom
DFT total energy   -3.986 eV/atom
Space group   R-3m (166)

Unit cell a=5.325 b=5.325 c=9.214 alpha=73.20 beta=73.20 gamma=60.00
Sites, in units of the cell vectors:
Nd: 0.378 0.378 0.865
Nd: 0.872 0.872 0.385
Nd: 0.128 0.128 0.615
Nd: 0.622 0.622 0.135
Ag: 0.746 0.746 0.762
Ag: 0.254 0.254 0.238
Hg: 0.000 0.000 0.000
Au: 0.500 0.500 0.500


(2)
Computed, not measured: NiAgHgAu after structural relaxation at the PBE-GGA level of DFT.

Calculated values
ΔH_f (0 K)   0.154 eV per atom
DFT total energy   -2.899 eV/atom
Space group   F-43m (216)

Unit cell a=4.593 b=4.593 c=4.593 alpha=60.00 beta=60.00 gamma=60.00
Sites, in units of the cell vectors:
Ni: 0.500 0.500 0.500
Au: 0.250 0.250 0.250
Hg: 0.750 0.750 0.750
Ag: 0.000 0.000 0.000


(3)
Computed, not measured: NpAgHgAu after structural relaxation at the PBE-GGA level of DFT.

Calculated values
ΔH_f (0 K)   0.072 eV per atom
DFT total energy   -4.771 eV/atom
Space group   F-43m (216)

Unit cell a=5.026 b=5.026 c=5.026 alpha=60.00 beta=60.00 gamma=60.00
Each line ends with the local moment (μB).
Sites, in units of the cell vectors:
Np: 0.750 0.750 0.750  4.04
Au: 0.500 0.500 0.500  0.02
Hg: 0.000 0.000 0.000  0.06
Ag: 0.250 0.250 0.250  0.03


(4)
Computed, not measured: PaAgHgAu after structural relaxation at the PBE-GGA level of DFT.

Calculated values
ΔH_f (0 K)   -0.100 eV per atom
DFT total energy   -4.081 eV/atom
Space group   F-43m (216)

Unit cell a=4.977 b=4.977 c=4.977 alpha=60.00 beta=60.00 gamma=60.00
Sites, in units of the cell vectors:
Pa: 0.750 0.750 0.750
Au: 0.000 0.000 0.000
Hg: 0.500 0.500 0.500
Ag: 0.250 0.250 0.250


(5)
Computed, not measured: AgHgPdAu after structural relaxation at the PBE-GGA level of DFT.

Calculated values
ΔH_f (0 K)   -0.060 eV per atom
DFT total energy   -2.966 eV/atom
Space group   F-43m (216)

Unit cell a=4.679 b=4.679 c=4.679 alpha=60.00 beta=60.00 gamma=60.00
Sites, in units of the cell vectors:
Pd: 0.750 0.750 0.750
Au: 0.500 0.500 0.500
Hg: 0.000 0.000 0.000
Ag: 0.250 0.250 0.250


(6)
Computed, not measured: AgHg2Pd5Au2 after structural relaxation at the PBE-GGA level of DFT.

Calculated values
ΔH_f (0 K)   0.041 eV per atom
DFT total energy   -3.557 eV/atom
Space group   P4/mbm (127)

Unit cell a=3.116 b=10.878 c=10.878 alpha=90.00 beta=90.00 gamma=90.00
Sites, in units of the cell vectors:
Ag: 0.000 0.000 0.000
Ag: 0.000 0.500 0.500
Hg: 0.000 0.661 0.161
Hg: 0.000 0.339 0.839
Hg: 0.000 0.161 0.339
Hg: 0.000 0.839 0.661
Pd: 0.500 0.204 0.003
Pd: 0.500 0.796 0.997
Pd: 0.500 0.003 0.796
Pd: 0.500 0.704 0.497
Pd: 0.500 0.997 0.204
Pd: 0.500 0.296 0.503
Pd: 0.500 0.503 0.704
Pd: 0.500 0.497 0.296
Pd: 0.500 0.500 0.000
Pd: 0.500 0.000 0.500
Au: 0.000 0.154 0.654
Au: 0.000 0.846 0.346
Au: 0.000 0.654 0.846
Au: 0.000 0.346 0.154


(7)
Computed, not measured: AgHgPdAu2 after structural relaxation at the PBE-GGA level of DFT.

Calculated values
ΔH_f (0 K)   0.829 eV per atom
DFT total energy   -2.151 eV/atom
Space group   P4/mmm (123)

Unit cell a=5.170 b=5.109 c=5.170 alpha=90.00 beta=90.00 gamma=90.00
Sites, in units of the cell vectors:
Pd: 0.000 0.500 0.000
Au: 0.000 0.000 0.500
Au: 0.500 0.000 0.000
Hg: 0.000 0.000 0.000
Ag: 0.500 0.500 0.500


(8)
Computed, not measured: AgHg2Pd2Au2 after structural relaxation at the PBE-GGA level of DFT.

Calculated values
ΔH_f (0 K)   -0.064 eV per atom
DFT total energy   -2.978 eV/atom
Space group   C2/m (12)

Unit cell a=4.090 b=5.096 c=6.678 alpha=96.34 beta=90.00 gamma=113.66
Sites, in units of the cell vectors:
Ag: 0.000 0.000 0.000
Hg: 0.576 0.152 0.708
Hg: 0.424 0.848 0.292
Pd: 0.142 0.283 0.424
Pd: 0.858 0.717 0.576
Au: 0.713 0.426 0.149
Au: 0.287 0.574 0.851


(9)
Computed, not measured: Pr4AgHgAu2 after structural relaxation at the PBE-GGA level of DFT.

Calculated values
ΔH_f (0 K)   -0.546 eV per atom
DFT total energy   -4.149 eV/atom
Space group   R-3m (166)

Unit cell a=5.349 b=5.349 c=9.255 alpha=73.20 beta=73.20 gamma=60.00
Sites, in units of the cell vectors:
Pr: 0.377 0.377 0.870
Pr: 0.874 0.874 0.379
Pr: 0.126 0.126 0.621
Pr: 0.623 0.623 0.130
Ag: 0.500 0.500 0.500
Hg: 0.000 0.000 0.000
Au: 0.749 0.749 0.752
Au: 0.251 0.251 0.248


(10)
Computed, not measured: Pr4AgHg2Au after structural relaxation at the PBE-GGA level of DFT.

Calculated values
ΔH_f (0 K)   -0.481 eV per atom
DFT total energy   -3.712 eV/atom
Space group   R-3m (166)

Unit cell a=5.389 b=5.389 c=9.350 alpha=73.25 beta=73.25 gamma=60.00
Each line ends with the local moment (μB).
Sites, in units of the cell vectors:
Pr: 0.378 0.378 0.867  0.05
Pr: 0.873 0.873 0.382  0.07
Pr: 0.127 0.127 0.618  0.07
Pr: 0.622 0.622 0.133  0.05
Ag: 0.000 0.000 0.000  0.01
Hg: 0.746 0.746 0.763  0.00
Hg: 0.254 0.254 0.237  0.00
Au: 0.500 0.500 0.500  0.01


(11)
Computed, not measured: Pr4Ag2HgAu after structural relaxation at the PBE-GGA level of DFT.

Calculated values
ΔH_f (0 K)   -0.430 eV per atom
DFT total energy   -3.980 eV/atom
Space group   R-3m (166)

Unit cell a=5.364 b=5.364 c=9.277 alpha=73.19 beta=73.19 gamma=60.00
Sites, in units of the cell vectors:
Pr: 0.378 0.378 0.865
Pr: 0.872 0.872 0.385
Pr: 0.128 0.128 0.615
Pr: 0.622 0.622 0.135
Ag: 0.746 0.746 0.762
Ag: 0.254 0.254 0.238
Hg: 0.000 0.000 0.000
Au: 0.500 0.500 0.500


(12)
Computed, not measured: AgHgPtAu after structural relaxation at the PBE-GGA level of DFT.

Calculated values
ΔH_f (0 K)   0.036 eV per atom
DFT total energy   -3.082 eV/atom
Space group   F-43m (216)

Unit cell a=4.679 b=4.679 c=4.679 alpha=60.00 beta=60.00 gamma=60.00
Sites, in units of the cell vectors:
Ag: 0.750 0.750 0.750
Au: 0.500 0.500 0.500
Hg: 0.000 0.000 0.000
Pt: 0.250 0.250 0.250